(1)
HfTlWO6: optimized geometry, GGA+U.

Geometry as POSCAR:
```
HfTlWO6
1.0
5.441 0.000 0.000
-2.721 4.712 0.000
0.000 0.000 5.193
Hf Tl W O
1 1 1 6
Direct
0.000 0.000 0.000
0.667 0.333 0.500
0.333 0.667 0.000
0.055 0.350 0.210
0.055 0.705 0.790
0.295 0.350 0.790
0.295 0.945 0.210
0.650 0.705 0.210
0.650 0.945 0.790
```

Values from the calculation:
Calculated volume, Å³ per cell: 133
Total DFT energy (no corrections), eV per atom: -7.6255
Fermi-level density of states, states/eV/cell: 4.02



(2)
HfTl2W3O12: optimized geometry, GGA+U.

Geometry as POSCAR:
```
HfTl2W3O12
1.0
3.714 2.144 6.150
-3.714 2.144 6.150
0.000 -4.288 6.150
Hf Tl W O
1 2 3 12
Direct
0.000 0.000 0.000
0.343 0.343 0.343
0.657 0.657 0.657
0.000 0.000 0.500
0.000 0.500 0.000
0.500 0.000 0.000
0.059 0.693 0.693
0.066 0.066 0.672
0.066 0.672 0.066
0.307 0.307 0.941
0.307 0.941 0.307
0.328 0.934 0.934
0.672 0.066 0.066
0.693 0.059 0.693
0.693 0.693 0.059
0.934 0.328 0.934
0.934 0.934 0.328
0.941 0.307 0.307
```

Values from the calculation:
Calculated volume, Å³ per cell: 294
Total DFT energy (no corrections), eV per atom: -7.4270
Fermi-level density of states, states/eV/cell: 0.00



(3)
Hf2TlWO8: optimized geometry, GGA+U.

Geometry as POSCAR:
```
Hf2TlWO8
1.0
3.437 -3.447 0.000
3.437 3.447 0.000
0.000 0.000 6.625
Hf Tl W O
2 1 1 8
Direct
0.000 0.000 0.248
0.000 0.000 0.752
0.500 0.500 0.000
0.500 0.500 0.500
0.180 0.180 0.000
0.208 0.208 0.500
0.299 0.701 0.278
0.299 0.701 0.722
0.701 0.299 0.278
0.701 0.299 0.722
0.792 0.792 0.500
0.820 0.820 0.000
```

Values from the calculation:
Calculated volume, Å³ per cell: 157
Total DFT energy (no corrections), eV per atom: -8.2356